{"formula": "Sc4Ir3Au", "functional": "GGA-PBE", "state": "optimized geometry", "cell": [[4.677, 0.000, 0.000], [0.000, 6.417, 0.000], [0.000, 0.000, 9.353]], "species": ["Ir", "Au", "Ir", "Sc", "Sc", "Au", "Sc", "Sc", "Ir", "Ir", "Ir", "Sc", "Sc", "Ir", "Sc", "Sc"], "frac_coords": [[0.500, 0.500, 0.750], [0.000, 0.500, 0.000], [0.000, 0.000, 0.500], [0.500, 0.756, 0.500], [0.000, 0.756, 0.750], [0.000, 0.500, 0.500], [0.000, 0.244, 0.750], [0.000, 0.244, 0.250], [0.500, 0.000, 0.750], [0.000, 0.000, 0.000], [0.500, 0.500, 0.250], [0.500, 0.244, 0.500], [0.500, 0.756, 0.000], [0.500, 0.000, 0.250], [0.000, 0.756, 0.250], [0.500, 0.244, 0.000]], "final_energy_ev_per_atom": -7.83, "n_ef_per_ev_atom": 0.77}

---

{"formula": "TmSb2Au", "functional": "GGA-PBE", "state": "optimized geometry", "cell": [[-0.008, 3.294, -1.390], [-1.759, 0.651, -3.044], [-8.862, 3.510, 3.771]], "species": ["Au", "Sb", "Sb", "Tm"], "frac_coords": [[0.000, 0.000, 0.000], [0.601, 0.601, 0.197], [0.399, 0.399, 0.803], [0.500, 0.500, 0.500]], "raw_formation_energy_mev_per_atom": 80, "final_energy_ev_per_atom": -3.92, "n_ef_per_ev_atom": 0.70}

---

{"formula": "LiEr2Al", "functional": "GGA-PBE", "state": "optimized geometry", "cell": [[-1.018, -3.532, -0.130], [3.867, -1.000, -3.108], [2.950, -0.996, 3.990]], "species": ["Li", "Er", "Er", "Al"], "frac_coords": [[0.500, 0.000, 0.000], [0.000, 0.000, 0.500], [0.000, 0.500, 0.000], [0.500, 0.500, 0.500]], "final_energy_ev_per_atom": -3.88, "polymorph_energy_ev_per_atom": 0.024, "n_ef_per_ev_atom": 0.90}

---

{"formula": "YMnW2", "functional": "GGA-PBE", "state": "optimized geometry", "cell": [[-0.476, 1.954, -1.971], [-2.459, -0.652, 1.207], [1.299, 6.555, 6.184]], "species": ["W", "Y", "Mn", "W"], "frac_coords": [[0.000, 0.000, 0.960], [0.500, 0.500, 0.250], [0.500, 0.500, 0.750], [0.000, 0.000, 0.540]], "final_energy_ev_per_atom": -9.89, "polymorph_energy_ev_per_atom": 0.160, "n_ef_per_ev_atom": 1.11}